No. 1
# Pr2TiCu3Ni12

Crystalline Pr2TiCu3Ni12 at its relaxed geometry (PBE-GGA, Alexandria via LeMat-Bulk).

Cell and atoms, written as POSCAR:
```
Pr2TiCu3Ni12
1.0
-1.419 0.313 6.176
-3.399 -5.347 0.327
4.640 -3.787 2.094
Pr Ti Cu Ni
2 1 3 12
Cartesian
-0.127 -6.278 6.118 Pr
-0.051 -2.543 2.478 Pr
0.000 0.000 0.000 Ti
-0.709 0.156 3.088 Cu
-1.699 -2.674 0.163 Cu
2.320 -1.894 1.047 Cu
1.966 -5.316 4.479 Ni
-2.607 -5.063 5.782 Ni
0.611 -7.241 3.614 Ni
-0.697 -3.514 6.274 Ni
1.662 -4.234 6.721 Ni
-1.568 -6.002 3.702 Ni
-2.144 -3.505 4.118 Ni
2.429 -3.758 2.815 Ni
-0.789 -1.581 4.983 Ni
0.519 -5.308 2.323 Ni
-1.840 -4.587 1.876 Ni
1.390 -2.819 4.895 Ni
```

For the magnetization, the calculation gives 0.0 μB per formula unit. For the formation energy, the calculation gives 0.02 eV/atom. The raw total energy comes out at -5.486 eV/atom. The space group is R-3m (166). For the volume, the calculation gives 249.5 Å³/f.u. For the density of states at the Fermi level, the calculation gives 18.2 states/eV/f.u.


No. 2
# Nd8GeTe4S3

Crystalline Nd8GeTe4S3 at its relaxed geometry (PBE-GGA, Alexandria via LeMat-Bulk).

Cell and atoms, written as POSCAR:
```
Nd8GeTe4S3
1.0
-2.249 -6.390 -5.144
2.166 -5.787 6.242
-5.586 6.145 1.840
Nd Ge Te S
8 1 4 3
Cartesian
-4.437 0.331 5.021 Nd
-1.662 -2.721 4.107 Nd
-2.910 -0.131 1.435 Nd
-5.554 -2.843 2.466 Nd
-0.114 -3.189 0.472 Nd
-2.758 -5.901 1.503 Nd
-4.006 -3.310 -1.169 Nd
-1.231 -6.363 -2.083 Nd
1.083 -2.893 3.121 Ge
-1.124 -3.195 -2.572 Te
-3.917 -0.122 -1.652 Te
0.000 0.000 0.000 Te
-2.793 3.073 0.920 Te
-0.041 -6.088 0.549 S
-2.834 -3.016 1.469 S
-1.710 0.179 4.041 S
```

For the magnetization, the calculation gives 0.0 μB per formula unit. The raw total energy comes out at -5.855 eV/atom. The space group is R-3m (166). For the volume, the calculation gives 456.2 Å³/f.u. For the density of states at the Fermi level, the calculation gives 5.5 states/eV/f.u. As for the uncorrected formation energy: -1.6229 eV per atom.


No. 3
# Os3Cl

Crystalline Os3Cl at its relaxed geometry (PBE-GGA, Alexandria via LeMat-Bulk).

Cell and atoms, written as POSCAR:
```
Os3Cl
1.0
2.795 0.000 0.000
0.000 2.795 0.000
0.000 0.000 7.679
Cl Os
1 3
Cartesian
0.000 0.000 0.000 Cl
1.398 1.398 2.017 Os
0.000 0.000 3.839 Os
1.398 1.398 5.661 Os
```

For the magnetization, the calculation gives 0.0 μB per formula unit. The raw total energy comes out at -8.058 eV/atom. The space group is P4/mmm (123). The calculation puts the energy above the most stable polymorph in this dataset at 0.210 eV per atom. For the volume, the calculation gives 60.0 Å³/f.u. For the density of states at the Fermi level, the calculation gives 4.6 states/eV/f.u. As for the uncorrected formation energy: 0.8255 eV per atom.


No. 4
# LaHo2Co

Crystalline LaHo2Co at its relaxed geometry (PBE-GGA, Alexandria via LeMat-Bulk).

Cell and atoms, written as POSCAR:
```
LaHo2Co
1.0
-0.035 3.270 0.966
-0.010 -0.966 3.270
9.055 0.081 0.051
Co Ho La
1 2 1
Cartesian
-0.022 1.152 2.118 Co
7.465 0.067 0.042 Ho
1.590 0.014 0.009 Ho
4.505 1.193 2.144 La
```

For the magnetization, the calculation gives 0.6 μB per formula unit. For the formation energy, the calculation gives -0.08 eV/atom. The raw total energy comes out at -5.378 eV/atom. The space group is P4/mmm (123). The calculation puts the energy above the most stable polymorph in this dataset at 0.075 eV per atom. For the volume, the calculation gives 105.3 Å³/f.u. For the density of states at the Fermi level, the calculation gives 3.9 states/eV/f.u.


No. 5
# K2CaOs

Crystalline K2CaOs at its relaxed geometry (PBE-GGA, Alexandria via LeMat-Bulk).

Cell and atoms, written as POSCAR:
```
K2CaOs
1.0
-3.048 1.538 1.323
-2.813 -2.525 -3.546
-0.690 -4.745 3.926
Ca K Os
1 2 1
Cartesian
-1.751 -3.635 0.190 Ca
0.000 0.000 0.000 K
-2.930 -0.494 -1.112 K
-1.869 -1.604 2.624 Os
```

For the magnetization, the calculation gives 0.9 μB per formula unit. For the formation energy, the calculation gives 1.13 eV/atom. The raw total energy comes out at -2.723 eV/atom. The space group is Pmmm (47). The calculation puts the energy above the most stable polymorph in this dataset at 0.370 eV per atom. For the volume, the calculation gives 117.6 Å³/f.u. For the density of states at the Fermi level, the calculation gives 3.7 states/eV/f.u.


No. 6
# ZrV2Ga2

Crystalline ZrV2Ga2 at its relaxed geometry (PBE-GGA, Alexandria via LeMat-Bulk).

Cell and atoms, written as POSCAR:
```
ZrV2Ga2
1.0
7.624 0.000 0.000
0.000 7.624 0.000
0.000 0.000 2.754
Zr Ga V
2 4 4
Cartesian
0.000 0.000 0.000 Zr
3.812 3.812 0.000 Zr
1.391 5.203 1.377 Ga
5.203 6.233 1.377 Ga
6.233 2.421 1.377 Ga
2.421 1.391 1.377 Ga
2.969 6.781 0.000 V
6.781 4.655 0.000 V
4.655 0.843 0.000 V
0.843 2.969 0.000 V
```

For the magnetization, the calculation gives 0.0 μB per formula unit. For the formation energy, the calculation gives -0.16 eV/atom. The raw total energy comes out at -6.730 eV/atom. The space group is P4/mbm (127). The calculation puts the energy above the most stable polymorph in this dataset at 0.156 eV per atom. For the volume, the calculation gives 80.0 Å³/f.u. For the density of states at the Fermi level, the calculation gives 2.6 states/eV/f.u.


No. 7
# MgTl3S

Crystalline MgTl3S at its relaxed geometry (PBE-GGA, Alexandria via LeMat-Bulk).

Cell and atoms, written as POSCAR:
```
MgTl3S
1.0
-2.763 2.195 4.505
-1.920 -5.216 1.363
4.629 -0.854 3.255
Mg Tl S
1 3 1
Cartesian
-0.028 -1.937 4.562 Mg
-0.960 -2.608 0.682 Tl
2.314 -0.427 1.628 Tl
-1.382 1.097 2.252 Tl
0.000 0.000 0.000 S
```

For the magnetization, the calculation gives 0.0 μB per formula unit. The raw total energy comes out at -2.348 eV/atom. The space group is Pm-3m (221). The calculation puts the energy above the most stable polymorph in this dataset at 0.000 eV per atom. For the volume, the calculation gives 187.4 Å³/f.u. For the density of states at the Fermi level, the calculation gives 2.8 states/eV/f.u. As for the uncorrected formation energy: 0.2163 eV per atom.


No. 8
# GdMgPtRh

Crystalline GdMgPtRh at its relaxed geometry (PBE-GGA, Alexandria via LeMat-Bulk).

Cell and atoms, written as POSCAR:
```
GdMgPtRh
1.0
-2.901 2.409 -2.854
-4.671 -0.704 0.234
-2.812 3.361 1.777
Mg Gd Rh Pt
1 1 1 1
Cartesian
-5.192 2.533 -0.422 Mg
0.000 0.000 0.000 Gd
-2.596 1.267 -0.211 Rh
-7.788 3.800 -0.632 Pt
```

For the magnetization, the calculation gives 7.1 μB per formula unit. For the formation energy, the calculation gives -0.81 eV/atom. The raw total energy comes out at -8.081 eV/atom. The space group is F-43m (216). For the volume, the calculation gives 74.8 Å³/f.u. For the density of states at the Fermi level, the calculation gives 3.0 states/eV/f.u.


No. 9
# CaPmSbO

Crystalline CaPmSbO at its relaxed geometry (PBE-GGA, Alexandria via LeMat-Bulk).

Cell and atoms, written as POSCAR:
```
CaPmSbO
1.0
-4.284 -1.655 0.819
0.143 -2.359 -4.022
3.495 -6.962 4.207
Ca Pm Sb O
2 2 2 2
Cartesian
0.794 -6.677 3.944 Ca
0.630 -2.292 -1.339 Ca
1.747 -3.481 2.103 Pm
-0.323 -5.488 0.502 Pm
2.843 -6.700 1.325 Sb
-1.418 -2.269 1.280 Sb
1.548 -4.121 -0.233 O
-0.124 -4.848 2.839 O
```

For the magnetization, the calculation gives 0.0 μB per formula unit. The raw total energy comes out at -5.966 eV/atom. The space group is P4/nmm (129). For the volume, the calculation gives 96.3 Å³/f.u. For the density of states at the Fermi level, the calculation gives 0.7 states/eV/f.u. As for the uncorrected formation energy: -2.0083 eV per atom.


No. 10
# TbCdHg4

Crystalline TbCdHg4 at its relaxed geometry (PBE-GGA, Alexandria via LeMat-Bulk).

Cell and atoms, written as POSCAR:
```
TbCdHg4
1.0
5.990 0.000 0.000
2.995 5.187 0.000
2.995 1.729 4.891
Tb Hg Cd
1 4 1
Cartesian
2.995 1.729 1.223 Tb
5.990 3.458 0.614 Hg
5.990 1.732 3.056 Hg
7.485 4.322 3.056 Hg
4.495 4.322 3.056 Hg
0.000 0.000 0.000 Cd
```

For the magnetization, the calculation gives 0.0 μB per formula unit. For the formation energy, the calculation gives -0.01 eV/atom. The raw total energy comes out at -1.135 eV/atom. The space group is F-43m (216). The calculation puts the energy above the most stable polymorph in this dataset at 0.140 eV per atom. For the volume, the calculation gives 152.0 Å³/f.u. For the density of states at the Fermi level, the calculation gives 3.6 states/eV/f.u.


No. 11
# AlTcSb2

Crystalline AlTcSb2 at its relaxed geometry (PBE-GGA, Alexandria via LeMat-Bulk).

Cell and atoms, written as POSCAR:
```
AlTcSb2
1.0
-0.192 -0.616 8.424
-3.425 -1.411 7.593
-0.981 -3.817 7.473
Sb Tc Al
2 1 1
Cartesian
-4.565 -5.802 23.324 Sb
-2.331 -2.963 11.911 Sb
-1.149 -1.461 5.872 Tc
-3.448 -4.383 17.617 Al
```

For the magnetization, the calculation gives 0.0 μB per formula unit. The raw total energy comes out at -5.381 eV/atom. The space group is R-3m (166). For the volume, the calculation gives 83.7 Å³/f.u. For the density of states at the Fermi level, the calculation gives 1.7 states/eV/f.u. As for the uncorrected formation energy: 0.2069 eV per atom.


No. 12
# KSrBC2

Crystalline KSrBC2 at its relaxed geometry (PBE-GGA, Alexandria via LeMat-Bulk).

Cell and atoms, written as POSCAR:
```
KSrBC2
1.0
3.877 0.000 0.000
0.000 4.775 0.000
0.000 0.000 3.877
Sr K B C
1 1 1 2
Cartesian
0.000 2.387 0.000 Sr
1.939 2.387 1.939 K
0.000 0.000 0.000 B
0.000 0.000 1.939 C
1.939 0.000 0.000 C
```

For the magnetization, the calculation gives 0.0 μB per formula unit. For the formation energy, the calculation gives 1.99 eV/atom. The raw total energy comes out at -3.588 eV/atom. The space group is P4/mmm (123). For the volume, the calculation gives 71.8 Å³/f.u. For the density of states at the Fermi level, the calculation gives 1.5 states/eV/f.u.